(1)
GaOs2W | PBE | optimized geometry

* total magnetic moment: 0.00 μB per formula unit
* calculated total energy: -38.392 eV/cell

a b c (Å): 3.0302 3.0302 6.3962
angles (deg): 90.00 90.00 90.00
Closest atoms and distances in Å follow each position.
Element x y z (fractional)
1 Ga 0.0000 0.0000 0.0000  8 Os 2.64
2 Os 0.5000 0.5000 0.2401  4 Ga 2.64, 4 W 2.71
3 Os 0.5000 0.5000 0.7599  4 Ga 2.64, 4 W 2.71
4 W 0.0000 0.0000 0.5000  8 Os 2.71, 4 W 3.03


(2)
GaOs3W | PBE | optimized geometry

* total magnetic moment: 0.00 μB per formula unit
* calculated total energy: -40.313 eV/cell

a b c (Å): 4.4161 4.4161 4.4161
angles (deg): 90.00 90.00 90.00
Closest atoms and distances in Å follow each position.
Element x y z (fractional)
1 Ga 0.0000 0.0000 0.0000  6 Os 2.21
2 Os 0.0000 0.0000 0.5000  2 Ga 2.21
3 Os 0.0000 0.5000 0.0000  2 Ga 2.21
4 Os 0.5000 0.0000 0.0000  2 Ga 2.21
5 W 0.5000 0.5000 0.5000  12 Os 3.12


(3)
GaOs3W | PBE | optimized geometry

* total magnetic moment: 0.00 μB per formula unit
* calculated total energy: -38.542 eV/cell

a b c (Å): 4.7397 4.7397 4.7397
angles (deg): 90.00 90.00 90.00
Closest atoms and distances in Å follow each position.
Element x y z (fractional)
1 Ga 0.0000 0.0000 0.0000  12 Os 3.35
2 Os 0.0000 0.5000 0.5000  2 W 2.37
3 Os 0.5000 0.0000 0.5000  2 W 2.37
4 Os 0.5000 0.5000 0.0000  2 W 2.37
5 W 0.5000 0.5000 0.5000  6 Os 2.37